[1]
Here is crystalline Ag4IClF2 at its relaxed geometry from Alexandria. Energies are from PBE.

Results
ΔE_f (raw), eV per atom: -0.605
Symmetry: No. 74
N(E_F), states/eV/atom: 0.066

Lattice parameters (Å, degrees): 7.695 7.695 8.090 121.70 121.70 88.82
Fractional coordinates of all 16 atoms:
Ag (0.297, 0.772, 0.035)
Ag (0.728, 0.203, 0.465)
Ag (0.272, 0.797, 0.535)
Ag (0.703, 0.228, 0.965)
Ag (0.732, 0.769, 0.019)
Ag (0.731, 0.768, 0.481)
Ag (0.269, 0.232, 0.519)
Ag (0.268, 0.231, 0.981)
I (0.000, 0.500, 0.000)
I (0.000, 0.500, 0.500)
Cl (0.500, 0.500, 0.500)
Cl (0.000, 0.000, 0.000)
F (0.500, 0.000, 0.000)
F (0.500, 0.000, 0.500)
F (0.000, 0.000, 0.500)
F (0.500, 0.500, 0.000)

[2]
Here is crystalline LaCrTc2 at its relaxed geometry from Alexandria. Energies are from PBE.

Results
Symmetry: No. 12
N(E_F), states/eV/atom: 0.982
ΔE to the lowest computed polymorph, eV per atom: 0.097

Lattice parameters (Å, degrees): 4.672 4.672 5.714 75.10 75.10 38.54
Fractional coordinates of all 4 atoms:
Cr (0.750, 0.750, 0.750)
La (0.250, 0.250, 0.250)
Tc (0.035, 0.035, 0.914)
Tc (0.465, 0.465, 0.586)

[3]
Here is crystalline Ac3PmTl4Se8 at its relaxed geometry from Alexandria. Energies are from PBE.

Results
ΔE_f (raw), eV per atom: -1.420
Symmetry: No. 166
N(E_F), states/eV/atom: 0.000

Lattice parameters (Å, degrees): 9.012 9.311 9.011 118.96 120.00 90.00
Fractional coordinates of all 16 atoms:
Ac (0.500, 0.500, 0.000)
Ac (0.500, 0.500, 0.500)
Ac (0.000, 0.500, 0.500)
Pm (0.000, 0.500, 0.000)
Tl (0.500, 0.000, 0.000)
Tl (0.500, 0.000, 0.500)
Tl (0.000, 0.000, 0.000)
Tl (0.000, 0.000, 0.500)
Se (0.232, 0.714, 0.982)
Se (0.232, 0.714, 0.464)
Se (0.260, 0.280, 0.520)
Se (0.750, 0.714, 0.982)
Se (0.250, 0.286, 0.018)
Se (0.740, 0.720, 0.480)
Se (0.768, 0.286, 0.536)
Se (0.768, 0.286, 0.018)

[4]
Here is crystalline CaMnH3 at its relaxed geometry from Alexandria. Energies are from PBE.

Results
Symmetry: No. 221
N(E_F), states/eV/atom: 0.265
ΔE to the lowest computed polymorph, eV per atom: 0.626

Lattice parameters (Å, degrees): 4.100 4.100 4.100 90.00 90.00 90.00
Site moments in Bohr magnetons follow the coordinates.
Fractional coordinates of all 5 atoms:
H (0.000, 0.500, 0.000)  0.01
H (0.000, 0.000, 0.500)  0.02
H (0.500, 0.000, 0.000)  0.01
Ca (0.000, 0.000, 0.000)  0.02
Mn (0.500, 0.500, 0.500)  4.45

[5]
Here is crystalline Mg6IrAu2 at its relaxed geometry from Alexandria. Energies are from PBE.

Results
Symmetry: No. 164
N(E_F), states/eV/atom: 0.364
E_tot, eV per atom: -3.122

Lattice parameters (Å, degrees): 4.683 4.683 8.730 89.99 90.00 120.00
Fractional coordinates of all 9 atoms:
Mg (0.667, 0.333, 0.936)
Mg (0.333, 0.667, 0.064)
Mg (0.000, 0.000, 0.202)
Mg (0.333, 0.667, 0.420)
Mg (0.000, 0.000, 0.798)
Mg (0.667, 0.333, 0.580)
Ir (0.000, 0.000, 0.500)
Au (0.333, 0.667, 0.747)
Au (0.667, 0.333, 0.253)

[6]
Here is crystalline KNd2YTe4 at its relaxed geometry from Alexandria. Energies are from PBE.

Results
ΔE_f (raw), eV per atom: -1.356
Symmetry: No. 10
N(E_F), states/eV/atom: 0.423

Lattice parameters (Å, degrees): 4.478 7.895 7.916 71.49 90.00 90.00
Fractional coordinates of all 8 atoms:
K (0.500, 0.500, 0.000)
Nd (0.000, 0.000, 0.000)
Nd (0.500, 0.000, 0.500)
Y (0.000, 0.500, 0.500)
Te (0.000, 0.756, 0.736)
Te (0.000, 0.244, 0.264)
Te (0.500, 0.746, 0.261)
Te (0.500, 0.254, 0.739)

[7]
Here is crystalline LiMg4Pb5 at its relaxed geometry from Alexandria. Energies are from PBE.

Results
Symmetry: No. 123
N(E_F), states/eV/atom: 0.381
E_tot, eV per atom: -2.791

Lattice parameters (Å, degrees): 3.595 3.595 19.841 90.00 90.00 90.00
Fractional coordinates of all 10 atoms:
Li (0.000, 0.000, 0.000)
Mg (0.000, 0.000, 0.190)
Mg (0.000, 0.000, 0.397)
Mg (0.000, 0.000, 0.603)
Mg (0.000, 0.000, 0.810)
Pb (0.500, 0.500, 0.091)
Pb (0.500, 0.500, 0.294)
Pb (0.500, 0.500, 0.500)
Pb (0.500, 0.500, 0.706)
Pb (0.500, 0.500, 0.909)

[8]
Here is crystalline CrSb2P at its relaxed geometry from Alexandria. Energies are from PBE.

Results
ΔE_f (raw), eV per atom: 0.440
Symmetry: No. 122
N(E_F), states/eV/atom: 1.044

Lattice parameters (Å, degrees): 6.199 6.199 7.424 65.32 65.32 90.00
Site moments in Bohr magnetons follow the coordinates.
Fractional coordinates of all 8 atoms:
Sb (0.623, 0.125, 0.250)  -0.11
Sb (0.127, 0.625, 0.250)  -0.11
Sb (0.375, 0.377, 0.750)  -0.12
Sb (0.875, 0.873, 0.750)  -0.11
P (0.500, 0.500, 0.000)  0.06
P (0.250, 0.750, 0.500)  0.06
Cr (0.000, 0.000, 0.000)  3.39
Cr (0.750, 0.250, 0.500)  3.39

[9]
Here is crystalline Zr3Zn7Ag at its relaxed geometry from Alexandria. Energies are from PBE.

Results
Symmetry: No. 63
N(E_F), states/eV/atom: 0.779
E_tot, eV per atom: -3.473

Lattice parameters (Å, degrees): 3.081 9.885 13.052 90.00 90.00 98.96
Fractional coordinates of all 22 atoms:
Zr (0.117, 0.235, 0.451)
Zr (0.883, 0.765, 0.549)
Zr (0.263, 0.525, 0.750)
Zr (0.737, 0.475, 0.250)
Zr (0.117, 0.235, 0.049)
Zr (0.883, 0.765, 0.951)
Zn (0.410, 0.819, 0.750)
Zn (0.590, 0.181, 0.250)
Zn (0.493, 0.986, 0.410)
Zn (0.507, 0.014, 0.590)
Zn (0.507, 0.014, 0.910)
Zn (0.493, 0.986, 0.090)
Zn (0.370, 0.740, 0.346)
Zn (0.630, 0.260, 0.654)
Zn (0.262, 0.525, 0.429)
Zn (0.738, 0.475, 0.571)
Zn (0.738, 0.475, 0.929)
Zn (0.262, 0.525, 0.071)
Zn (0.370, 0.740, 0.154)
Zn (0.630, 0.260, 0.846)
Ag (0.968, 0.936, 0.250)
Ag (0.032, 0.064, 0.750)

[10]
Here is crystalline SmAsS at its relaxed geometry from Alexandria. Energies are from PBE.

Results
ΔE_f (raw), eV per atom: -1.578
Symmetry: No. 62
N(E_F), states/eV/atom: 0.004

Lattice parameters (Å, degrees): 3.888 3.939 17.367 90.00 90.00 90.00
Fractional coordinates of all 12 atoms:
Sm (0.250, 0.235, 0.854)
Sm (0.750, 0.735, 0.646)
Sm (0.750, 0.765, 0.146)
Sm (0.250, 0.265, 0.354)
As (0.250, 0.788, 0.498)
As (0.750, 0.212, 0.502)
As (0.250, 0.712, 0.998)
As (0.750, 0.288, 0.002)
S (0.250, 0.237, 0.687)
S (0.250, 0.263, 0.187)
S (0.750, 0.763, 0.313)
S (0.750, 0.737, 0.813)

[11]
Here is crystalline Sc3HgO at its relaxed geometry from Alexandria. Energies are from PBE.

Results
ΔE_f (raw), eV per atom: -0.942
Symmetry: No. 194
N(E_F), states/eV/atom: 0.461
ΔE to the lowest computed polymorph, eV per atom: 0.551

Lattice parameters (Å, degrees): 4.928 4.928 8.710 90.00 90.00 120.00
Site moments in Bohr magnetons follow the coordinates.
Fractional coordinates of all 10 atoms:
Sc (0.000, 0.000, 0.250)  0.12
Sc (0.000, 0.000, 0.750)  0.12
Sc (0.333, 0.667, 0.079)  0.33
Sc (0.333, 0.667, 0.421)  0.32
Sc (0.667, 0.333, 0.579)  0.32
Sc (0.667, 0.333, 0.921)  0.33
Hg (0.333, 0.667, 0.750)  -0.02
Hg (0.667, 0.333, 0.250)  -0.02
O (0.000, 0.000, 0.000)  -0.02
O (0.000, 0.000, 0.500)  -0.02

[12]
Here is crystalline La2SmEr3 at its relaxed geometry from Alexandria. Energies are from PBE.

Results
Symmetry: No. 36
N(E_F), states/eV/atom: 1.557
ΔE to the lowest computed polymorph, eV per atom: 0.129

Lattice parameters (Å, degrees): 6.480 8.102 8.102 71.74 90.00 90.00
Fractional coordinates of all 12 atoms:
La (0.575, 0.734, 0.393)
La (0.075, 0.607, 0.266)
La (0.575, 0.393, 0.734)
La (0.075, 0.266, 0.607)
Sm (0.794, 0.832, 0.832)
Sm (0.294, 0.168, 0.168)
Er (0.098, 0.874, 0.511)
Er (0.598, 0.489, 0.126)
Er (0.098, 0.511, 0.874)
Er (0.598, 0.126, 0.489)
Er (0.317, 0.910, 0.910)
Er (0.817, 0.090, 0.090)